Entry 1:
A plane-wave DFT calculation with PBE-GGA was carried out for a geometry-optimized YErAgPt structure.

```
4
Lattice="5.006 0.000 0.000 2.503 4.335 0.000 2.503 1.445 4.088" Properties=species:S:1:pos:R:3 pbc="T T T"
Ag 2.503 1.445 1.022
Y 5.006 2.890 2.044
Er 0.000 0.000 0.000
Pt 7.509 4.335 3.066
```

Summary:
The density of states at the Fermi level comes out at 2.8 states/eV per cell. The calculation puts the formation energy at -0.797 eV per atom.

Entry 2:
A plane-wave DFT calculation with PBE-GGA was carried out for a geometry-optimized ErZnAgPt structure.

```
4
Lattice="4.726 0.000 0.000 2.363 4.093 0.000 2.363 1.364 3.859" Properties=species:S:1:pos:R:3 pbc="T T T"
Zn 0.000 0.000 0.000
Er 4.726 2.729 1.929
Pt 7.089 4.093 2.894
Ag 2.363 1.364 0.965
```

Summary:
The density of states at the Fermi level comes out at 3.1 states/eV per cell. The calculation puts the formation energy at -0.587 eV per atom.

Entry 3:
A plane-wave DFT calculation with PBE-GGA was carried out for a geometry-optimized ErZrAgPt structure.

```
4
Lattice="-0.184 4.024 2.766 -3.396 0.413 3.489 1.294 -0.210 4.707" Properties=species:S:1:pos:R:3 pbc="T T T"
Ag -1.714 3.170 8.221
Er 0.000 0.000 0.000
Zr -1.143 2.114 5.481
Pt -0.571 1.057 2.740
```

Summary:
The density of states at the Fermi level comes out at 3.6 states/eV per cell. The calculation puts the formation energy at -0.596 eV per atom.

Entry 4:
A plane-wave DFT calculation with PBE-GGA was carried out for a geometry-optimized ErPuAg2 structure.

```
4
Lattice="5.160 0.000 0.000 2.580 4.469 0.000 2.580 1.490 4.213" Properties=species:S:1:pos:R:3 pbc="T T T"
Ag 7.740 4.469 3.160
Er 5.160 2.979 2.107
Pu 0.000 0.000 0.000
Ag 2.580 1.490 1.053
```

Summary:
The density of states at the Fermi level comes out at 11.9 states/eV per cell. The calculation puts the formation energy at -0.062 eV per atom.

Entry 5:
A plane-wave DFT calculation with PBE-GGA was carried out for a geometry-optimized Er2PuAg structure.

```
4
Lattice="3.345 0.000 0.000 1.672 2.897 0.000 1.672 0.966 11.358" Properties=species:S:1:pos:R:3 pbc="T T T"
Er 5.017 2.897 3.262
Pu 0.000 0.000 0.000
Er 1.672 0.966 8.096
Ag 3.345 1.931 5.679
```

Summary:
The density of states at the Fermi level comes out at 10.4 states/eV per cell. The calculation puts the formation energy at 0.260 eV per atom.

Entry 6:
A plane-wave DFT calculation with PBE-GGA was carried out for a geometry-optimized Er2PuAg structure.

```
4
Lattice="3.501 0.000 0.000 0.000 3.501 0.000 0.000 0.000 8.589" Properties=species:S:1:pos:R:3 pbc="T T T"
Er 0.000 0.000 6.715
Ag 1.751 1.751 0.000
Pu 1.751 1.751 4.295
Er 0.000 0.000 1.874
```

Summary:
The density of states at the Fermi level comes out at 8.8 states/eV per cell. The calculation puts the formation energy at -0.056 eV per atom.

Entry 7:
A plane-wave DFT calculation with PBE-GGA was carried out for a geometry-optimized ErPuAg2 structure.

```
4
Lattice="-1.198 -0.730 3.255 -3.085 -1.072 -1.376 2.732 -7.109 -0.590" Properties=species:S:1:pos:R:3 pbc="T T T"
Ag 0.628 -1.635 -0.136
Pu -0.776 -4.456 0.644
Ag 2.104 -5.474 -0.454
Er -2.142 -0.901 0.939
```

Summary:
The density of states at the Fermi level comes out at 9.9 states/eV per cell. The calculation puts the formation energy at -0.107 eV per atom.

Entry 8:
A plane-wave DFT calculation with PBE-GGA was carried out for a geometry-optimized Er2PuAg structure.

```
4
Lattice="-1.054 3.363 0.307 -0.524 0.323 -5.333 -5.097 -1.635 0.402" Properties=species:S:1:pos:R:3 pbc="T T T"
Er -0.262 0.161 -2.666
Er -2.549 -0.817 0.201
Ag -3.338 1.026 -2.312
Pu -0.527 1.682 0.154
```

Summary:
The density of states at the Fermi level comes out at 8.3 states/eV per cell. The calculation puts the formation energy at 0.026 eV per atom.

Entry 9:
A plane-wave DFT calculation with PBE-GGA was carried out for a geometry-optimized ErPuAg2 structure.

```
4
Lattice="3.329 0.000 0.000 1.665 2.883 0.000 1.665 0.961 10.040" Properties=species:S:1:pos:R:3 pbc="T T T"
Er 0.000 0.000 0.000
Ag 1.665 0.961 2.411
Pu 3.329 1.922 5.020
Ag 4.994 2.883 7.629
```

Summary:
The density of states at the Fermi level comes out at 10.1 states/eV per cell. The calculation puts the formation energy at 0.100 eV per atom.

Entry 10:
A plane-wave DFT calculation with PBE-GGA was carried out for a geometry-optimized ErPuAgRu structure.

```
4
Lattice="-3.900 -0.887 -2.910 0.678 -1.141 -4.764 -0.901 -4.594 -1.595" Properties=species:S:1:pos:R:3 pbc="T T T"
Er 0.000 0.000 0.000
Ag -3.092 -4.967 -6.952
Pu -2.062 -3.311 -4.635
Ru -1.031 -1.656 -2.317
```

Summary:
The density of states at the Fermi level comes out at 11.0 states/eV per cell. The calculation puts the formation energy at -0.125 eV per atom.

Entry 11:
A plane-wave DFT calculation with PBE-GGA was carried out for a geometry-optimized ErPuAgS4 structure.

```
14
Lattice="-7.290 1.047 -2.697 -2.214 -3.459 -6.763 -5.186 -5.969 0.296" Properties=species:S:1:pos:R:3 pbc="T T T"
S -3.727 -2.237 -2.200
S -10.964 -6.143 -6.964
S -6.120 -5.040 -2.067
Pu -3.700 -4.714 -3.234
Ag -8.103 -6.197 -3.313
S -7.370 -1.519 -3.478
Pu 0.000 0.000 0.000
Er -2.593 -2.984 0.148
S -4.635 -3.906 -5.641
S -8.570 -3.341 -7.096
S -10.055 -4.475 -3.523
Ag -6.588 -2.184 -5.850
Er -6.238 -2.461 -1.200
S -7.321 -6.862 -5.686
```

Summary:
The density of states at the Fermi level comes out at 22.4 states/eV per cell. The total energy is -6.81 eV per atom.

Entry 12:
A plane-wave DFT calculation with PBE-GGA was carried out for a geometry-optimized Er3PuAg3Se8 structure.

```
15
Lattice="8.275 0.000 0.000 -4.137 7.165 -0.036 0.000 -4.768 6.473" Properties=species:S:1:pos:R:3 pbc="T T T"
Se 4.137 2.379 1.656
Se 2.063 3.592 4.764
Ag -2.069 3.582 -0.018
Ag 2.069 3.582 -0.018
Se 2.074 -1.195 1.674
Er 2.069 1.198 3.219
Pu 0.000 -2.384 3.237
Se 0.000 2.385 1.632
Se 6.201 -1.195 1.674
Se 4.137 0.012 4.805
Er 4.137 -2.384 3.237
Se 0.000 0.018 4.781
Se -2.063 3.592 4.764
Ag 0.000 0.000 0.000
Er -2.069 1.198 3.219
```

Summary:
The density of states at the Fermi level comes out at 13.1 states/eV per cell. The total energy is -5.46 eV per atom.

Entry 13:
A plane-wave DFT calculation with PBE-GGA was carried out for a geometry-optimized Er2PuAg3Se6 structure.

```
12
Lattice="4.182 0.000 0.000 0.000 7.984 0.537 -2.091 -2.057 8.571" Properties=species:S:1:pos:R:3 pbc="T T T"
Er 0.000 2.053 3.051
Pu 2.091 0.000 0.000
Er 2.091 3.874 6.057
Ag 2.091 3.992 0.269
Se 0.000 1.925 5.892
Ag 0.000 6.191 3.173
Se 2.091 3.916 8.922
Se 2.091 0.089 2.945
Se 2.091 4.002 3.216
Se 0.000 2.010 0.186
Ag 2.091 -0.264 5.935
Se 0.000 5.838 6.163
```

Summary:
The density of states at the Fermi level comes out at 12.1 states/eV per cell. The total energy is -5.48 eV per atom.

Entry 14:
A plane-wave DFT calculation with PBE-GGA was carried out for a geometry-optimized ErPuTcAg structure.

```
4
Lattice="-4.413 2.218 0.195 -3.148 -1.077 3.655 -0.934 3.340 3.522" Properties=species:S:1:pos:R:3 pbc="T T T"
Tc -6.371 3.361 5.529
Pu 0.000 0.000 0.000
Ag -2.124 1.120 1.843
Er -4.248 2.241 3.686
```

Summary:
The density of states at the Fermi level comes out at 9.1 states/eV per cell. The calculation puts the formation energy at 0.045 eV per atom.

Entry 15:
A plane-wave DFT calculation with PBE-GGA was carried out for a geometry-optimized ErPuAg2Te4 structure.

```
8
Lattice="7.572 0.000 0.000 3.786 5.694 0.011 3.786 0.478 5.674" Properties=species:S:1:pos:R:3 pbc="T T T"
Ag 11.359 4.124 3.799
Te 9.304 3.015 5.256
Te 5.841 0.687 3.111
Er 7.572 3.086 2.843
Pu 0.000 0.000 0.000
Te 9.304 3.157 0.429
Te 5.841 5.485 2.574
Ag 3.786 2.048 1.886
```

Summary:
The density of states at the Fermi level comes out at 12.5 states/eV per cell. The total energy is -5.22 eV per atom.

Entry 16:
A plane-wave DFT calculation with PBE-GGA was carried out for a geometry-optimized ErPuTlAg structure.

```
4
Lattice="5.281 0.000 0.000 2.640 4.573 0.000 2.640 1.524 4.312" Properties=species:S:1:pos:R:3 pbc="T T T"
Tl 7.921 4.573 3.234
Pu 0.000 0.000 0.000
Ag 2.640 1.524 1.078
Er 5.281 3.049 2.156
```

Summary:
The density of states at the Fermi level comes out at 10.2 states/eV per cell. The calculation puts the formation energy at -0.093 eV per atom.

Entry 17:
A plane-wave DFT calculation with PBE-GGA was carried out for a geometry-optimized Rb2ErAg2Se4 structure.

```
9
Lattice="4.179 0.000 0.000 0.000 8.299 0.433 -2.089 -2.892 7.280" Properties=species:S:1:pos:R:3 pbc="T T T"
Rb 2.089 1.479 5.568
Se 0.000 -0.910 7.215
Se 2.089 4.959 4.813
Se 2.089 6.317 0.499
Ag 2.089 7.103 3.041
Se 0.000 0.449 2.900
Ag 0.000 -1.696 4.672
Er 0.000 0.000 0.000
Rb 0.000 3.929 2.145
```

Summary:
The density of states at the Fermi level comes out at 4.2 states/eV per cell. The total energy is -3.91 eV per atom.

Entry 18:
A plane-wave DFT calculation with PBE-GGA was carried out for a geometry-optimized RbErAgSe2 structure.

```
10
Lattice="-0.342 1.998 -4.502 0.913 -7.191 -3.261 -8.015 -0.338 0.459" Properties=species:S:1:pos:R:3 pbc="T T T"
Er -6.184 0.752 -1.922
Ag -4.008 -0.169 0.229
Er -2.174 0.908 -2.121
Rb -1.859 -1.857 -5.624
Se -0.106 -0.913 -2.593
Ag 0.000 0.000 0.000
Se -3.266 -4.827 -4.090
Se -4.178 -0.705 -3.214
Se -7.338 -4.619 -4.711
Rb -5.585 -3.675 -1.680
```

Summary:
The density of states at the Fermi level comes out at 2.1 states/eV per cell. The total energy is -4.11 eV per atom.

Entry 19:
A plane-wave DFT calculation with PBE-GGA was carried out for a geometry-optimized RbEr3Ag2Te6 structure.

```
12
Lattice="4.514 0.000 0.000 0.000 9.719 -0.878 -2.257 -4.116 10.797" Properties=species:S:1:pos:R:3 pbc="T T T"
Te 2.257 4.326 2.595
Te 0.000 6.608 6.204
Rb 2.257 0.000 0.000
Er 2.257 4.859 -0.439
Er 0.000 6.444 2.810
Ag 2.257 5.707 4.953
Er 2.257 -0.840 7.109
Ag 0.000 -0.104 4.966
Te 2.257 -1.320 10.072
Te 0.000 1.277 7.324
Te 2.257 -1.005 3.715
Te 0.000 6.923 -0.153
```

Summary:
The total energy is -4.28 eV per atom.

Entry 20:
A plane-wave DFT calculation with PBE-GGA was carried out for a geometry-optimized Rb2ErAg2Te4 structure.

```
9
Lattice="4.407 0.000 0.000 0.000 8.856 0.494 -2.203 -3.058 7.648" Properties=species:S:1:pos:R:3 pbc="T T T"
Ag 2.203 7.573 3.265
Te 2.203 6.706 0.567
Te 2.203 5.303 5.069
Rb 0.000 4.221 2.288
Er 0.000 0.000 0.000
Rb 2.203 1.578 5.853
Te 0.000 0.496 3.073
Ag 0.000 -1.774 4.876
Te 0.000 -0.907 7.574
```

Summary:
The density of states at the Fermi level comes out at 3.7 states/eV per cell. The total energy is -3.59 eV per atom.